VASP calculation (PBE) on a relaxed structure of SrSiIrS2.

abc: 4.824 4.824 4.517
angles: 90.00 90.00 90.00
Fractional coordinates of all 5 atoms:
Ir 0.000 0.000 0.500
S 0.500 0.000 0.000
S 0.000 0.500 0.000
Si 0.000 0.000 0.000
Sr 0.500 0.500 0.500

Results
Energy relative to the elements, uncorrected in kJ per mole of atoms: -26.5
Uncorrected energy in eV/cell: -25.593